Record 1
First-principles (PBE) data for a relaxed SrPBr2 crystal, as listed in Alexandria.

Cell: 5.489 5.489 5.489 Å, 60.00 60.00 60.00°
Each line ends with the local moment (μB).
Positions (direct):
P 0.000 0.000 0.000  1.08
Br 0.750 0.750 0.750  0.16
Br 0.250 0.250 0.250  0.16
Sr 0.500 0.500 0.500  0.03

Values from the calculation:
- energy relative to the elements, uncorrected (eV/atom) = -0.63
- space-group type = Fm-3m, No. 225

Record 2
First-principles (PBE) data for a relaxed TlRe2 crystal, as listed in Alexandria.

Cell: 7.033 7.033 6.093 Å, 65.75 65.75 24.49°
Positions (direct):
Re 0.307 0.307 0.070
Re 0.693 0.693 0.430
Re 0.307 0.307 0.570
Re 0.693 0.693 0.930
Tl 0.000 0.000 0.250
Tl 0.000 0.000 0.750

Values from the calculation:
- space-group type = C2/m, No. 12

Record 3
First-principles (PBE) data for a relaxed Ce2TlP crystal, as listed in Alexandria.

Cell: 3.989 3.989 8.533 Å, 103.52 90.00 120.00°
Each line ends with the local moment (μB).
Positions (direct):
Ce 0.266 0.033 0.299  0.59
Ce 0.734 0.967 0.701  0.59
Tl 0.500 0.500 0.000  -0.01
P 0.000 0.500 0.500  -0.02

Values from the calculation:
- space-group type = R-3m, No. 166

no.,VASP energy (eV per atom),Fermi-level density of states (states/eV/f.u.)
1,-3.24,0.00
2,-8.52,1.37
3,-5.70,10.47